Entry 1:
Here is crystalline Cd2FeCo2 at its relaxed geometry from Alexandria via LeMat-Bulk. Energies are from PBE.

Calculated values
DOS(E_F): 7.3 states/eV/f.u.
Calculated volume: 17.31 Å³ per atom
Energy relative to the lowest polymorph listed for this composition: 490 meV per atom
Electronic total energy: -0.302 Ry/atom
ΔE_f: 384 kJ/mol of formula units

Cell: 6.6523 6.6523 6.6523 Å, 147.09 147.09 47.23°
Site moments in Bohr magnetons follow the coordinates.
Positions (direct):
Cd 0.2500 0.7500 0.5000  -0.01
Cd 0.7500 0.2500 0.5000  -0.01
Fe 0.0000 0.0000 0.0000  3.25
Co 0.5862 0.5862 0.0000  1.74
Co 0.4138 0.4138 0.0000  1.74

***

Entry 2:
Here is crystalline Cd2FeCo at its relaxed geometry from Alexandria via LeMat-Bulk. Energies are from PBE.

Calculated values
DOS(E_F): 2.3 states/eV/f.u.
Calculated volume: 16.78 Å³ per atom
Electronic total energy: -0.302 Ry/atom
ΔE_f: 95 kJ/mol of formula units

Cell: 9.3786 9.3786 9.3786 Å, 17.77 17.77 17.77°
Site moments in Bohr magnetons follow the coordinates.
Positions (direct):
Cd 0.0107 0.0107 0.0107  -0.02
Cd 0.2382 0.2382 0.2382  -0.02
Co 0.4883 0.4883 0.4883  1.68
Fe 0.7628 0.7628 0.7628  2.77